Ba2Li3ZnF12 | PBE | relaxed

Unit cell a=7.305 b=7.305 c=7.305 alpha=55.84 beta=55.84 gamma=55.84
Atoms (fractional coordinates):
1 Ba 0.118 0.118 0.118
2 Ba 0.882 0.882 0.882
3 Li 0.000 0.500 0.500
4 Li 0.500 0.000 0.500
5 Li 0.500 0.500 0.000
6 Zn 0.500 0.500 0.500
7 F 0.149 0.149 0.603
8 F 0.149 0.603 0.149
9 F 0.158 0.592 0.592
10 F 0.397 0.851 0.851
11 F 0.408 0.408 0.842
12 F 0.408 0.842 0.408
13 F 0.592 0.158 0.592
14 F 0.592 0.592 0.158
15 F 0.603 0.149 0.149
16 F 0.842 0.408 0.408
17 F 0.851 0.397 0.851
18 F 0.851 0.851 0.397

Results
Magnetization   0.169 μB/atom
Theoretical density   3.926 g cm⁻³
V   249 Å³/cell
Space group   No. 166
Uncorrected formation energy   -2536 meV per atom